# ZrSi2 meta-GGA SCAN PBEsol geometry
data_ZrSi2
_cell_length_a 6.0059
_cell_length_b 3.6276
_cell_length_c 9.0740
_cell_angle_alpha 90.00
_cell_angle_beta 90.00
_cell_angle_gamma 90.00
_symmetry_space_group_name_H-M 'P n m a'
_symmetry_Int_Tables_number 62
_symmetry_space_group_name_Hall '-P 2ac 2n'
loop_
_atom_site_label
_atom_site_fract_x
_atom_site_fract_y
_atom_site_fract_z
_atom_site_occupancy
Zr1 0.1636 0.2500 0.1268 1
Si1 0.1269 0.2500 0.4365 1
Si2 0.1650 0.2500 0.8184 1
# DOS(E_F) ... 0.12 states/eV per atom
# E ... -17.4806 eV per atom
# E_form (uncorrected) ... -55.0 kJ/mol of atoms
# Crystal system ... orthorhombic
# Spin magnetization ... 0.00 μB/cell